This record from the Alexandria database describes a geometry-optimized Pr2Nd2Er15 structure. The functional is PBE.

a = 8.6903 Å, b = 8.6903 Å, c = 8.6903 Å
α = 80.99°, β = 80.99°, γ = 80.99°
Element x y z (fractional)
Pr: 0.1218 0.1218 0.1218
Pr: 0.8782 0.8782 0.8782
Nd: 0.3392 0.3392 0.3392
Nd: 0.6608 0.6608 0.6608
Er: 0.0000 0.0000 0.5000
Er: 0.0000 0.3051 0.6949
Er: 0.0000 0.5000 0.0000
Er: 0.0000 0.6949 0.3051
Er: 0.1550 0.6375 0.6375
Er: 0.3051 0.0000 0.6949
Er: 0.3051 0.6949 0.0000
Er: 0.3625 0.3625 0.8450
Er: 0.3625 0.8450 0.3625
Er: 0.5000 0.0000 0.0000
Er: 0.6375 0.1550 0.6375
Er: 0.6375 0.6375 0.1550
Er: 0.6949 0.0000 0.3051
Er: 0.6949 0.3051 0.0000
Er: 0.8450 0.3625 0.3625

Magnetic moment (μB/f.u.): 0.00
Crystal system: trigonal
DFT formation energy (meV/atom): 276.9

***

This record from the Alexandria database describes a geometry-optimized Pr4Nd5Er structure. The functional is PBE.

a = 4.3289 Å, b = 4.3289 Å, c = 18.7468 Å
α = 90.00°, β = 90.00°, γ = 90.00°
Element x y z (fractional)
Pr: 0.0000 0.0000 0.1013
Pr: 0.0000 0.0000 0.2990
Pr: 0.0000 0.0000 0.7010
Pr: 0.0000 0.0000 0.8987
Nd: 0.5000 0.5000 0.0000
Nd: 0.5000 0.5000 0.2019
Nd: 0.5000 0.5000 0.4036
Nd: 0.5000 0.5000 0.5964
Nd: 0.5000 0.5000 0.7981
Er: 0.0000 0.0000 0.5000

Magnetic moment (μB/f.u.): 0.00
Offset from the most stable computed form (meV per atom): 92
Crystal system: tetragonal
DFT formation energy (meV/atom): 104.5

***

This record from the Alexandria database describes a geometry-optimized PrNd4Er4 structure. The functional is PBE.

a = 8.0707 Å, b = 8.0707 Å, c = 8.0707 Å
α = 95.73°, β = 95.73°, γ = 143.15°
Element x y z (fractional)
Pr: 0.0000 0.0000 0.0000
Nd: 0.3320 0.3320 0.6640
Nd: 0.3320 0.6680 0.0000
Nd: 0.6680 0.3320 0.0000
Nd: 0.6680 0.6680 0.3360
Er: 0.0000 0.3368 0.3368
Er: 0.0000 0.6632 0.6632
Er: 0.3368 0.0000 0.3368
Er: 0.6632 0.0000 0.6632

Magnetic moment (μB/f.u.): 0.00
Crystal system: tetragonal
DFT formation energy (meV/atom): 22.7

***

This record from the Alexandria database describes a geometry-optimized PrNd8Er2 structure. The functional is PBE.

a = 9.1636 Å, b = 9.1636 Å, c = 6.7419 Å
α = 98.93°, β = 98.93°, γ = 43.64°
Element x y z (fractional)
Pr: 0.0000 0.0000 0.0000
Nd: 0.1737 0.6490 0.5884
Nd: 0.2441 0.2441 0.3163
Nd: 0.3510 0.8263 0.4116
Nd: 0.4057 0.4057 0.0851
Nd: 0.5943 0.5943 0.9149
Nd: 0.6490 0.1737 0.5884
Nd: 0.7559 0.7559 0.6837
Nd: 0.8263 0.3510 0.4116
Er: 0.2017 0.2017 0.8055
Er: 0.7983 0.7983 0.1945

Magnetic moment (μB/f.u.): 0.00
Crystal system: monoclinic
DFT formation energy (meV/atom): 164.6

***

This record from the Alexandria database describes a geometry-optimized PrNd4Er10 structure. The functional is PBE.

a = 8.7974 Å, b = 8.7974 Å, c = 8.7974 Å
α = 112.09°, β = 112.09°, γ = 104.35°
Element x y z (fractional)
Pr: 0.0000 0.0000 0.0000
Nd: 0.2157 0.5501 0.7658
Nd: 0.4499 0.2157 0.6656
Nd: 0.5501 0.7843 0.3344
Nd: 0.7843 0.4499 0.2342
Er: 0.0459 0.9529 0.6602
Er: 0.0471 0.7073 0.0930
Er: 0.2500 0.7500 0.5000
Er: 0.2927 0.3858 0.3398
Er: 0.3858 0.0459 0.0930
Er: 0.6142 0.9541 0.9070
Er: 0.7073 0.6142 0.6602
Er: 0.7500 0.2500 0.5000
Er: 0.9529 0.2927 0.9070
Er: 0.9541 0.0471 0.3398

Magnetic moment (μB/f.u.): 0.00
Crystal system: tetragonal
DFT formation energy (meV/atom): 446.7

***

This record from the Alexandria database describes a geometry-optimized Pr2NdEr6 structure. The functional is PBE.

a = 9.7867 Å, b = 9.7867 Å, c = 3.4945 Å
α = 100.21°, β = 100.21°, γ = 63.56°
Element x y z (fractional)
Pr: 0.1567 0.1567 0.1556
Pr: 0.8433 0.8433 0.8444
Nd: 0.5000 0.5000 0.0000
Er: 0.1553 0.4891 0.8210
Er: 0.1879 0.8121 0.5000
Er: 0.4891 0.1553 0.8210
Er: 0.5109 0.8447 0.1790
Er: 0.8121 0.1879 0.5000
Er: 0.8447 0.5109 0.1790

Magnetic moment (μB/f.u.): 0.00
Offset from the most stable computed form (meV per atom): 0
Crystal system: monoclinic
DFT formation energy (meV/atom): 107.2

***

This record from the Alexandria database describes a geometry-optimized PrNd12Er2 structure. The functional is PBE.

a = 6.8534 Å, b = 6.8534 Å, c = 25.1068 Å
α = 90.00°, β = 90.00°, γ = 116.51°
Element x y z (fractional)
Pr: 0.2500 0.7500 0.9983
Pr: 0.7500 0.2500 0.0017
Nd: 0.0022 0.5022 0.8676
Nd: 0.0033 0.9967 0.0755
Nd: 0.0188 0.5188 0.4144
Nd: 0.0236 0.9764 0.5601
Nd: 0.2500 0.2500 0.1999
Nd: 0.2500 0.2500 0.3248
Nd: 0.2500 0.2500 0.6752
Nd: 0.2500 0.2500 0.8001
Nd: 0.4764 0.5236 0.5601
Nd: 0.4812 0.9812 0.4144
Nd: 0.4967 0.5033 0.0755
Nd: 0.4978 0.9978 0.8676
Nd: 0.5022 0.0022 0.1324
Nd: 0.5033 0.4967 0.9245
Nd: 0.5188 0.0188 0.5856
Nd: 0.5236 0.4764 0.4399
Nd: 0.7500 0.7500 0.1999
Nd: 0.7500 0.7500 0.3248
Nd: 0.7500 0.7500 0.6752
Nd: 0.7500 0.7500 0.8001
Nd: 0.9764 0.0236 0.4399
Nd: 0.9812 0.4812 0.5856
Nd: 0.9967 0.0033 0.9245
Nd: 0.9978 0.4978 0.1324
Er: 0.2500 0.7500 0.2676
Er: 0.2500 0.7500 0.7290
Er: 0.7500 0.2500 0.2710
Er: 0.7500 0.2500 0.7324

Magnetic moment (μB/f.u.): 0.00
Crystal system: orthorhombic
DFT formation energy (meV/atom): 153.6

***

This record from the Alexandria database describes a geometry-optimized Pr7Nd2Er4 structure. The functional is PBE.

a = 6.2616 Å, b = 6.2616 Å, c = 13.2475 Å
α = 90.00°, β = 90.00°, γ = 120.00°
Element x y z (fractional)
Pr: 0.0000 0.0000 0.0000
Pr: 0.0000 0.3738 0.2274
Pr: 0.0000 0.6262 0.7726
Pr: 0.3738 0.0000 0.2274
Pr: 0.3738 0.3738 0.7726
Pr: 0.6262 0.0000 0.7726
Pr: 0.6262 0.6262 0.2274
Nd: 0.3333 0.6667 0.0000
Nd: 0.6667 0.3333 0.0000
Er: 0.0000 0.0000 0.3928
Er: 0.0000 0.0000 0.6072
Er: 0.3333 0.6667 0.5000
Er: 0.6667 0.3333 0.5000

Magnetic moment (μB/f.u.): 0.00
Crystal system: trigonal
DFT formation energy (meV/atom): 178.0

***

This record from the Alexandria database describes a geometry-optimized Pr3Nd2Er7 structure. The functional is PBE.

a = 5.8440 Å, b = 3.5915 Å, c = 18.9266 Å
α = 90.00°, β = 93.15°, γ = 90.00°
Element x y z (fractional)
Pr: 0.0000 0.0000 0.0000
Pr: 0.2759 0.5000 0.6312
Pr: 0.7241 0.5000 0.3688
Nd: 0.2109 0.0000 0.2911
Nd: 0.7891 0.0000 0.7089
Er: 0.1912 0.5000 0.1419
Er: 0.2425 0.0000 0.4612
Er: 0.3071 0.0000 0.8292
Er: 0.5000 0.5000 0.0000
Er: 0.6929 0.0000 0.1708
Er: 0.7575 0.0000 0.5388
Er: 0.8088 0.5000 0.8581

Magnetic moment (μB/f.u.): 0.00
Offset from the most stable computed form (meV per atom): 0
Crystal system: monoclinic
DFT formation energy (meV/atom): 87.4

***

This record from the Alexandria database describes a geometry-optimized Pr2NdEr7 structure. The functional is PBE.

a = 6.1685 Å, b = 7.1290 Å, c = 7.9570 Å
α = 77.28°, β = 75.13°, γ = 73.35°
Element x y z (fractional)
Pr: 0.2012 0.2991 0.1003
Pr: 0.7988 0.7009 0.8997
Nd: 0.0000 0.0000 0.5000
Er: 0.0000 0.5000 0.5000
Er: 0.1998 0.7996 0.1012
Er: 0.3987 0.1013 0.6980
Er: 0.4009 0.6001 0.6983
Er: 0.5991 0.3999 0.3017
Er: 0.6013 0.8987 0.3020
Er: 0.8002 0.2004 0.8988

Magnetic moment (μB/f.u.): 0.00
Offset from the most stable computed form (meV per atom): 0
Crystal system: triclinic
DFT formation energy (meV/atom): 21.3

***

This record from the Alexandria database describes a geometry-optimized Pr12Nd5Er structure. The functional is PBE.

a = 6.4154 Å, b = 6.4154 Å, c = 18.1275 Å
α = 93.40°, β = 93.40°, γ = 119.95°
Element x y z (fractional)
Pr: 0.0548 0.7231 0.6651
Pr: 0.1106 0.4444 0.8337
Pr: 0.2232 0.2232 0.1664
Pr: 0.2769 0.9452 0.3349
Pr: 0.3861 0.3861 0.6651
Pr: 0.4444 0.1106 0.8337
Pr: 0.5556 0.8894 0.1663
Pr: 0.6139 0.6139 0.3349
Pr: 0.7231 0.0548 0.6651
Pr: 0.7768 0.7768 0.8336
Pr: 0.8894 0.5556 0.1663
Pr: 0.9452 0.2769 0.3349
Nd: 0.1667 0.8333 0.0000
Nd: 0.3334 0.6666 0.5000
Nd: 0.5000 0.5000 0.0000
Nd: 0.6666 0.3334 0.5000
Nd: 0.8333 0.1667 0.0000
Er: 0.0000 0.0000 0.5000

Magnetic moment (μB/f.u.): 0.00
Crystal system: monoclinic
DFT formation energy (meV/atom): 5.2

***

This record from the Alexandria database describes a geometry-optimized Pr12Nd6Er structure. The functional is PBE.

a = 10.0365 Å, b = 10.0365 Å, c = 10.0365 Å
α = 112.03°, β = 112.03°, γ = 112.03°
Element x y z (fractional)
Pr: 0.0000 0.3797 0.6203
Pr: 0.0000 0.6203 0.3797
Pr: 0.2289 0.2289 0.5873
Pr: 0.2289 0.5873 0.2289
Pr: 0.3797 0.0000 0.6203
Pr: 0.3797 0.6203 0.0000
Pr: 0.4127 0.7711 0.7711
Pr: 0.5873 0.2289 0.2289
Pr: 0.6203 0.0000 0.3797
Pr: 0.6203 0.3797 0.0000
Pr: 0.7711 0.4127 0.7711
Pr: 0.7711 0.7711 0.4127
Nd: 0.0216 0.7708 0.7708
Nd: 0.2292 0.2292 0.9784
Nd: 0.2292 0.9784 0.2292
Nd: 0.7708 0.0216 0.7708
Nd: 0.7708 0.7708 0.0216
Nd: 0.9784 0.2292 0.2292
Er: 0.5000 0.5000 0.5000

Magnetic moment (μB/f.u.): 0.00
Offset from the most stable computed form (meV per atom): 170
Crystal system: trigonal
DFT formation energy (meV/atom): 291.1

***

This record from the Alexandria database describes a geometry-optimized PrNd4Er7 structure. The functional is PBE.

a = 6.7605 Å, b = 6.7605 Å, c = 12.7720 Å
α = 114.86°, β = 114.86°, γ = 51.81°
Element x y z (fractional)
Pr: 0.0000 0.0000 0.0000
Nd: 0.2281 0.2281 0.6694
Nd: 0.3650 0.3650 0.2233
Nd: 0.6350 0.6350 0.7767
Nd: 0.7719 0.7719 0.3306
Er: 0.0674 0.0674 0.3181
Er: 0.2109 0.2109 0.9231
Er: 0.3673 0.3673 0.5032
Er: 0.5000 0.5000 0.0000
Er: 0.6327 0.6327 0.4968
Er: 0.7891 0.7891 0.0769
Er: 0.9326 0.9326 0.6819

Magnetic moment (μB/f.u.): 0.00
Offset from the most stable computed form (meV per atom): 236
Crystal system: monoclinic
DFT formation energy (meV/atom): 255.5

***

This record from the Alexandria database describes a geometry-optimized Pr6NdEr structure. The functional is PBE.

a = 5.2090 Å, b = 5.2090 Å, c = 10.4160 Å
α = 90.00°, β = 90.00°, γ = 90.00°
Element x y z (fractional)
Pr: 0.0000 0.0000 0.0000
Pr: 0.0000 0.0000 0.5000
Pr: 0.0000 0.5000 0.2475
Pr: 0.0000 0.5000 0.7525
Pr: 0.5000 0.0000 0.2475
Pr: 0.5000 0.0000 0.7525
Nd: 0.5000 0.5000 0.5000
Er: 0.5000 0.5000 0.0000

Magnetic moment (μB/f.u.): 0.00
Crystal system: tetragonal
DFT formation energy (meV/atom): 14.9

***

This record from the Alexandria database describes a geometry-optimized PrNd6Er2 structure. The functional is PBE.

a = 8.3065 Å, b = 8.3065 Å, c = 10.5336 Å
α = 90.00°, β = 90.00°, γ = 90.00°
Element x y z (fractional)
Pr: 0.0000 0.0000 0.0000
Pr: 0.5000 0.5000 0.5000
Nd: 0.2376 0.2376 0.5000
Nd: 0.2391 0.2391 0.1663
Nd: 0.2391 0.2391 0.8337
Nd: 0.2609 0.7391 0.3337
Nd: 0.2609 0.7391 0.6663
Nd: 0.2624 0.7376 0.0000
Nd: 0.7376 0.2624 0.0000
Nd: 0.7391 0.2609 0.3337
Nd: 0.7391 0.2609 0.6663
Nd: 0.7609 0.7609 0.1663
Nd: 0.7609 0.7609 0.8337
Nd: 0.7624 0.7624 0.5000
Er: 0.0000 0.0000 0.3358
Er: 0.0000 0.0000 0.6642
Er: 0.5000 0.5000 0.1642
Er: 0.5000 0.5000 0.8358

Magnetic moment (μB/f.u.): 0.00
Offset from the most stable computed form (meV per atom): 590
Crystal system: tetragonal
DFT formation energy (meV/atom): 607.3

***

This record from the Alexandria database describes a geometry-optimized PrNd2Er structure. The functional is PBE.

a = 6.2972 Å, b = 6.2972 Å, c = 6.2972 Å
α = 131.49°, β = 131.49°, γ = 71.03°
Element x y z (fractional)
Pr: 0.0000 0.0000 0.0000
Nd: 0.5000 0.5000 0.0000
Nd: 0.7500 0.2500 0.5000
Er: 0.2500 0.7500 0.5000

Magnetic moment (μB/f.u.): 0.00
Offset from the most stable computed form (meV per atom): 2
Crystal system: tetragonal
DFT formation energy (meV/atom): 16.4

***

This record from the Alexandria database describes a geometry-optimized Pr3Nd2Er6 structure. The functional is PBE.

a = 6.1932 Å, b = 6.1932 Å, c = 11.6807 Å
α = 95.08°, β = 95.08°, γ = 120.08°
Element x y z (fractional)
Pr: 0.0000 0.0000 0.0000
Pr: 0.3358 0.6642 0.0000
Pr: 0.6642 0.3358 0.0000
Nd: 0.1666 0.8334 0.5000
Nd: 0.8334 0.1666 0.5000
Er: 0.0841 0.4170 0.2514
Er: 0.2504 0.2504 0.7488
Er: 0.4170 0.0841 0.2514
Er: 0.5830 0.9159 0.7486
Er: 0.7496 0.7496 0.2512
Er: 0.9159 0.5830 0.7486

Magnetic moment (μB/f.u.): 0.00
Offset from the most stable computed form (meV per atom): 0
Crystal system: monoclinic
DFT formation energy (meV/atom): 189.3

***

This record from the Alexandria database describes a geometry-optimized PrNd4Er structure. The functional is PBE.

a = 6.3747 Å, b = 6.3747 Å, c = 6.0847 Å
α = 90.19°, β = 90.19°, γ = 57.09°
Element x y z (fractional)
Pr: 0.0000 0.0000 0.0000
Nd: 0.1647 0.1647 0.4905
Nd: 0.3374 0.3374 0.9883
Nd: 0.6626 0.6626 0.0117
Nd: 0.8353 0.8353 0.5095
Er: 0.5000 0.5000 0.5000

Magnetic moment (μB/f.u.): 0.00
Offset from the most stable computed form (meV per atom): 0
Crystal system: monoclinic
DFT formation energy (meV/atom): 106.9

***

This record from the Alexandria database describes a geometry-optimized PrNd8Er5 structure. The functional is PBE.

a = 8.5842 Å, b = 8.5842 Å, c = 8.5842 Å
α = 111.62°, β = 111.62°, γ = 105.25°
Element x y z (fractional)
Pr: 0.0000 0.0000 0.0000
Nd: 0.0914 0.3244 0.4121
Nd: 0.2812 0.1770 0.7567
Nd: 0.3207 0.9086 0.2329
Nd: 0.4203 0.5246 0.2433
Nd: 0.4754 0.7188 0.8957
Nd: 0.6756 0.0878 0.7671
Nd: 0.8230 0.5797 0.1043
Nd: 0.9122 0.6793 0.5879
Er: 0.0256 0.4327 0.8138
Er: 0.2500 0.7500 0.5000
Er: 0.5673 0.3810 0.5929
Er: 0.6190 0.2118 0.1862
Er: 0.7882 0.9744 0.4071

Magnetic moment (μB/f.u.): 0.06
Crystal system: tetragonal
DFT formation energy (meV/atom): 236.1

***

This record from the Alexandria database describes a geometry-optimized Pr8Nd2Er structure. The functional is PBE.

a = 9.1629 Å, b = 9.1629 Å, c = 6.8593 Å
α = 100.35°, β = 100.35°, γ = 44.48°
Element x y z (fractional)
Pr: 0.0931 0.0931 0.9174
Pr: 0.1518 0.6773 0.5972
Pr: 0.2565 0.2565 0.6816
Pr: 0.3227 0.8482 0.4028
Pr: 0.6773 0.1518 0.5972
Pr: 0.7435 0.7435 0.3184
Pr: 0.8482 0.3227 0.4028
Pr: 0.9069 0.9069 0.0826
Nd: 0.3067 0.3067 0.1917
Nd: 0.6933 0.6933 0.8083
Er: 0.5000 0.5000 0.0000

Magnetic moment (μB/f.u.): 0.00
Offset from the most stable computed form (meV per atom): 14
Crystal system: monoclinic
DFT formation energy (meV/atom): 149.6

***

Short version: total energy = -4.330, -4.647, -4.655, -4.567, -4.185, -4.527, -4.588, -4.533, -4.564, -4.605, -4.759, -4.473, -4.394, -4.736, -4.116, -4.703, -4.470, -4.629, -4.459, -4.608 eV/atom, in the order given.